Entry 1:
Pu2HgBr | PBE | relaxed

```
4
Lattice="-1.342 2.583 1.772 -3.111 -0.872 -1.085 -0.952 -5.272 6.963" Properties=species:S:1:pos:R:3 pbc="T T T"
Hg -2.226 0.856 0.343
Br -2.702 -1.780 3.825
Pu -0.714 -3.953 5.221
Pu -0.238 -1.319 1.742
```

Output
Space-group type: P4/mmm (123)
V in Å³/cell: 102
Energy relative to the elements, uncorrected in eV per atom: -0.416
E above lowest polymorph in eV per formula unit: 0.00
Fermi-level density of states in states/eV per cell: 13.87

***

Entry 2:
Pu2HgBr | PBE | relaxed

```
4
Lattice="5.302 0.000 0.000 2.651 4.592 0.000 2.651 1.531 4.333" Properties=species:S:1:pos:R:3 pbc="T T T"
Hg 0.000 0.000 0.000
Br 5.302 3.061 2.166
Pu 2.651 1.531 1.084
Pu 7.953 4.592 3.249
```

Output
Space-group type: Fm-3m (225)
V in Å³/cell: 105
Energy relative to the elements, uncorrected in eV per atom: -0.291
E above lowest polymorph in eV per formula unit: 0.50
Fermi-level density of states in states/eV per cell: 16.49

***

Entry 3:
Pu2HgBr6 | PBE | relaxed

```
9
Lattice="8.810 0.000 0.000 0.000 6.436 -3.716 0.000 0.000 7.431" Properties=species:S:1:pos:R:3 pbc="T T T"
Pu 4.405 4.290 0.000
Pu 4.405 2.145 3.716
Hg 0.000 6.436 3.716
Br 6.044 4.063 2.346
Br 2.765 4.063 5.085
Br 2.765 6.436 0.976
Br 6.044 2.373 -1.370
Br 2.765 2.373 1.370
Br 6.044 0.000 2.740
```

Output
Space-group type: P-31m (162)
V in Å³/cell: 421
Energy relative to the elements, uncorrected in eV per atom: -1.352
Fermi-level density of states in states/eV per cell: 21.97

***

Entry 4:
PuHgBr6 | PBE | relaxed

```
8
Lattice="7.019 0.401 1.040 1.792 5.982 3.394 0.236 0.010 7.301" Properties=species:S:1:pos:R:3 pbc="T T T"
Pu 4.405 3.192 2.217
Hg 0.000 0.000 0.000
Br 6.173 2.696 7.200
Br 5.533 0.857 3.338
Br 3.513 5.536 8.397
Br 2.872 3.696 4.536
Br 6.428 4.658 3.236
Br 2.382 1.725 1.198
```

Output
Space-group type: C2/m (12)
V in Å³/cell: 300
Energy relative to the elements, uncorrected in eV per atom: -0.917
E above lowest polymorph in eV per formula unit: 0.00
Fermi-level density of states in states/eV per cell: 6.86

***

Entry 5:
RbPuHgBr6 | PBE | relaxed

```
18
Lattice="-5.030 -3.207 -4.608 1.428 -3.063 6.738 -10.788 8.248 6.036" Properties=species:S:1:pos:R:3 pbc="T T T"
Rb 0.000 0.000 0.000
Rb -5.394 4.124 3.018
Pu -3.422 -1.049 4.465
Pu -10.968 3.028 3.701
Hg -5.574 -1.097 0.683
Hg -8.816 3.075 7.483
Br -3.753 -2.761 2.172
Br -0.969 -0.001 3.376
Br -8.791 4.069 2.128
Br -13.421 1.980 4.790
Br -5.243 0.615 2.977
Br -2.998 1.062 6.380
Br -12.421 5.096 2.319
Br -5.599 -2.090 6.038
Br -11.392 0.917 1.786
Br -1.969 -3.117 5.847
Br -9.147 1.363 5.189
Br -10.637 4.740 5.994
```

Output
Space-group type: P-31c (163)
V in Å³/cell: 731
Energy relative to the elements, uncorrected in eV per atom: -1.206
Fermi-level density of states in states/eV per cell: 23.50

***

Entry 6:
RbPu2HgBr8 | PBE | relaxed

```
12
Lattice="-5.398 -2.396 -5.798 -2.843 -4.723 4.453 -5.617 5.963 2.753" Properties=species:S:1:pos:R:3 pbc="T T T"
Rb -2.809 2.981 1.377
Pu -8.339 0.919 1.395
Pu -5.520 -2.075 0.013
Hg 0.000 0.000 0.000
Br -4.485 -2.223 2.541
Br -10.983 1.029 2.516
Br -6.595 -1.884 -2.496
Br -9.373 1.066 -1.133
Br -2.876 -2.186 -1.108
Br -7.264 0.728 3.903
Br -8.199 -1.969 1.128
Br -5.660 0.813 0.279
```

Output
Space-group type: P-1 (2)
V in Å³/cell: 507
Energy relative to the elements, uncorrected in eV per atom: -1.322
Fermi-level density of states in states/eV per cell: 20.37

***

Entry 7:
RbPu3Hg2Br12 | PBE | relaxed

```
18
Lattice="9.474 -0.730 -0.518 4.044 8.599 -0.518 4.044 2.354 8.286" Properties=species:S:1:pos:R:3 pbc="T T T"
Rb 0.000 0.000 0.000
Pu 4.737 -0.365 -0.259
Pu 2.022 4.299 -0.259
Pu 2.022 1.177 4.143
Hg 10.142 5.903 4.187
Hg 7.420 4.319 3.063
Br 7.188 4.184 7.082
Br 13.227 7.699 2.787
Br 11.032 8.946 6.345
Br 10.565 2.267 1.608
Br 13.227 5.175 6.345
Br 7.188 8.067 1.608
Br 10.373 6.038 0.169
Br 4.335 2.523 4.464
Br 6.530 1.277 0.906
Br 6.997 7.956 5.643
Br 4.335 5.047 0.906
Br 10.373 2.155 5.643
```

Output
Space-group type: R-3m (166)
V in Å³/cell: 726
Energy relative to the elements, uncorrected in eV per atom: -1.220
Fermi-level density of states in states/eV per cell: 29.30

***

Entry 8:
Rb2PuHgBr6 | PBE | relaxed

```
10
Lattice="-0.971 8.052 3.470 -7.160 2.406 4.556 0.151 1.506 8.690" Properties=species:S:1:pos:R:3 pbc="T T T"
Rb -1.711 2.565 3.584
Rb -5.544 8.310 11.612
Pu -0.088 0.131 0.184
Hg -4.027 6.036 8.434
Br -0.952 4.223 8.721
Br -5.869 3.305 7.030
Br -2.381 8.919 10.108
Br -7.170 8.020 8.465
Br -3.219 7.522 5.277
Br -4.958 4.811 11.818
```

Output
Space-group type: R3 (146)
V in Å³/cell: 454
Energy relative to the elements, uncorrected in eV per atom: -1.372
Fermi-level density of states in states/eV per cell: 5.17

***

Entry 9:
RbPuHg2Br8 | PBE | relaxed

```
12
Lattice="6.873 -0.349 0.258 -0.377 7.839 1.470 0.234 2.078 9.894" Properties=species:S:1:pos:R:3 pbc="T T T"
Rb 0.117 1.039 4.947
Pu 0.000 0.000 0.000
Hg 3.095 3.328 7.422
Hg 3.635 6.240 4.201
Br 0.836 6.676 3.829
Br 4.481 5.346 1.920
Br 5.273 1.103 2.103
Br 5.894 2.892 7.793
Br 2.249 4.222 9.702
Br 1.457 8.464 9.519
Br 3.721 6.528 6.732
Br 3.009 3.040 4.891
```

Output
Space-group type: P-1 (2)
V in Å³/cell: 510
Energy relative to the elements, uncorrected in eV per atom: -1.008
Fermi-level density of states in states/eV per cell: 9.77

***

Entry 10:
PuTlHg2Br8 | PBE | relaxed

```
12
Lattice="-6.104 -1.100 3.253 1.249 -7.478 -2.214 4.373 -4.882 7.034" Properties=species:S:1:pos:R:3 pbc="T T T"
Pu 0.000 0.000 0.000
Tl 2.186 -2.441 3.517
Hg 0.704 -5.870 5.756
Hg -1.186 -7.591 2.318
Br 1.130 -7.478 0.673
Br -3.051 -6.248 1.118
Br -3.773 -2.696 3.500
Br -1.612 -5.982 7.401
Br 2.569 -7.213 6.956
Br 3.291 -10.765 4.574
Br -0.238 -8.692 4.421
Br -0.244 -4.768 3.653
```

Output
Space-group type: P-1 (2)
V in Å³/cell: 494
Energy relative to the elements, uncorrected in eV per atom: -0.851
Fermi-level density of states in states/eV per cell: 10.03

***

Entry 11:
Pu3TlHg2Br12 | PBE | relaxed

```
18
Lattice="-4.708 7.846 -4.974 -10.215 1.218 1.622 -2.969 8.172 5.733" Properties=species:S:1:pos:R:3 pbc="T T T"
Pu -2.354 3.923 -2.487
Pu -5.108 0.609 0.811
Pu -1.484 4.086 2.866
Tl 0.000 0.000 0.000
Hg -11.029 10.624 1.467
Hg -6.863 6.611 0.913
Br -7.184 10.184 4.235
Br -14.523 11.230 -0.842
Br -13.620 11.399 4.723
Br -8.252 9.983 -2.342
Br -10.757 14.844 1.295
Br -11.635 5.912 1.709
Br -10.707 7.052 -1.854
Br -3.368 6.006 3.222
Br -4.272 5.836 -2.342
Br -9.639 7.252 4.723
Br -7.135 2.391 1.086
Br -6.256 11.324 0.671
```

Output
Space-group type: R-3m (166)
V in Å³/cell: 848
Energy relative to the elements, uncorrected in eV per atom: -1.112
Fermi-level density of states in states/eV per cell: 26.27

***

Entry 12:
PuTlHgBr6 | PBE | relaxed

```
18
Lattice="-4.692 2.930 -5.047 1.274 -7.379 0.087 -10.839 -1.765 9.052" Properties=species:S:1:pos:R:3 pbc="T T T"
Pu -5.413 -0.947 -1.073
Pu -8.844 -5.266 5.164
Tl 0.000 0.000 0.000
Tl -5.419 -0.883 4.526
Hg -3.424 -4.384 0.638
Hg -10.832 -1.830 3.453
Br -3.626 -3.050 -1.904
Br -1.001 -2.960 1.257
Br -8.619 -0.044 3.891
Br -13.256 -3.254 2.835
Br -5.209 -2.286 1.471
Br -3.147 -5.302 3.352
Br -12.332 0.322 4.637
Br -5.638 -6.170 0.200
Br -11.109 -0.912 0.740
Br -1.924 -6.535 -0.546
Br -9.048 -3.928 2.620
Br -10.631 -3.164 5.995
```

Output
Space-group type: P-31c (163)
V in Å³/cell: 691
Energy relative to the elements, uncorrected in eV per atom: -0.996
Fermi-level density of states in states/eV per cell: 22.90